# 1
Compound: ZnAu3
Source: Alexandria via LeMat-Bulk
Functional: PBE-GGA
Structure: optimized geometry

Results
For the total DFT energy (no corrections), the calculation gives -11.5 eV per formula unit.

The structure in CIF format:
```
data_ZnAu3
_symmetry_space_group_name_H-M 'C m m m'
_symmetry_Int_Tables_number 65
_symmetry_space_group_name_Hall '-C 2 2'
_cell_length_a 5.748
_cell_length_b 7.863
_cell_length_c 3.075
_cell_angle_alpha 90.00
_cell_angle_beta 90.00
_cell_angle_gamma 90.00
loop_
_atom_site_label
_atom_site_type_symbol
_atom_site_fract_x
_atom_site_fract_y
_atom_site_fract_z
_atom_site_occupancy
Zn1 Zn 0.000 0.000 0.000 1
Au1 Au 0.000 0.500 0.000 1
Au2 Au 0.250 0.250 0.500 1
```

# 2
Compound: Li2Pr2In5
Source: Alexandria via LeMat-Bulk
Functional: PBE-GGA
Structure: optimized geometry

Results
For the total DFT energy (no corrections), the calculation gives -30.3 eV per formula unit.

The structure in CIF format:
```
data_Li2Pr2In5
_symmetry_space_group_name_H-M 'P 4/m m m'
_symmetry_Int_Tables_number 123
_symmetry_space_group_name_Hall '-P 4 2'
_cell_length_a 4.753
_cell_length_b 4.753
_cell_length_c 9.755
_cell_angle_alpha 90.00
_cell_angle_beta 90.00
_cell_angle_gamma 90.00
loop_
_atom_site_label
_atom_site_type_symbol
_atom_site_fract_x
_atom_site_fract_y
_atom_site_fract_z
_atom_site_occupancy
Li1 Li 0.000 0.000 0.120 1
Pr1 Pr 0.500 0.500 0.000 1
Pr2 Pr 0.500 0.500 0.500 1
In1 In 0.000 0.000 0.500 1
In2 In 0.000 0.500 0.253 1
```

# 3
Compound: NiRhPb2
Source: Alexandria via LeMat-Bulk
Functional: PBE-GGA
Structure: optimized geometry

Results
For the total DFT energy (no corrections), the calculation gives -19.5 eV per formula unit.

The structure in CIF format:
```
data_NiRhPb2
_symmetry_space_group_name_H-M 'I -4 m 2'
_symmetry_Int_Tables_number 119
_symmetry_space_group_name_Hall 'I -4 -2'
_cell_length_a 3.997
_cell_length_b 3.997
_cell_length_c 9.734
_cell_angle_alpha 90.00
_cell_angle_beta 90.00
_cell_angle_gamma 90.00
loop_
_atom_site_label
_atom_site_type_symbol
_atom_site_fract_x
_atom_site_fract_y
_atom_site_fract_z
_atom_site_occupancy
Ni1 Ni 0.000 0.000 0.000 1
Rh1 Rh 0.000 0.500 0.250 1
Pb1 Pb 0.000 0.000 0.500 1
Pb2 Pb 0.000 0.500 0.750 1
```

# 4
Compound: HfTlZn2Si
Source: Alexandria via LeMat-Bulk
Functional: PBE-GGA
Structure: optimized geometry

Results
The uncorrected formation energy is 31 kJ per mole of atoms.

The structure in CIF format:
```
data_HfTlZn2Si
_symmetry_space_group_name_H-M 'P 4/m m m'
_symmetry_Int_Tables_number 123
_symmetry_space_group_name_Hall '-P 4 2'
_cell_length_a 4.589
_cell_length_b 4.589
_cell_length_c 5.176
_cell_angle_alpha 90.00
_cell_angle_beta 90.00
_cell_angle_gamma 90.00
loop_
_atom_site_label
_atom_site_type_symbol
_atom_site_fract_x
_atom_site_fract_y
_atom_site_fract_z
_atom_site_occupancy
Hf1 Hf 0.000 0.000 0.000 1
Tl1 Tl 0.500 0.500 0.000 1
Zn1 Zn 0.000 0.500 0.500 1
Si1 Si 0.000 0.000 0.500 1
```